Record 1
Entry from the Alexandria database: a PBEsol-optimized structure of PuSi3 (SCAN).

POSCAR file:
```
PuSi3
1.0
-3.9984 0.6002 1.6165
0.2830 -5.1515 2.6126
1.8265 4.7444 2.7565
Si Pu
6 2
Direct
0.2500 0.1474 0.8526 Si
0.2500 0.7051 0.8526 Si
0.2500 0.1474 0.2949 Si
0.7500 0.8526 0.7051 Si
0.7500 0.2949 0.1474 Si
0.7500 0.8526 0.1474 Si
0.2500 0.6667 0.3333 Pu
0.7500 0.3333 0.6667 Pu
```

Results
As for the space-group type: P6_3/mmc (194). The formation energy (no corrections) comes out at -0.16 eV/atom.



Record 2
Entry from the Alexandria database: a PBEsol-optimized structure of Pu3Sn (SCAN).

POSCAR file:
```
Pu3Sn
1.0
-0.0279 4.1842 1.8353
-4.2473 -0.7002 1.5319
1.6841 -1.6967 3.8938
Pu Sn
3 1
Direct
0.5000 0.5000 0.0000 Pu
0.0000 0.5000 0.5000 Pu
0.5000 0.0000 0.5000 Pu
0.0000 0.0000 0.0000 Sn
```

Results
As for the energy of formation: 0.03 eV/atom. As for the space-group type: Pm-3m (221).



Record 3
Entry from the Alexandria database: a PBEsol-optimized structure of PuTe (SCAN).

POSCAR file:
```
PuTe
1.0
4.3357 0.0000 0.0000
2.1679 3.7548 0.0000
2.1679 1.2516 3.5401
Pu Te
1 1
Direct
0.0000 0.0000 0.0000 Pu
0.5000 0.5000 0.5000 Te
```

Results
As for the space-group type: Fm-3m (225). The formation energy (no corrections) comes out at -0.93 eV/atom.



Record 4
Entry from the Alexandria database: a PBEsol-optimized structure of RbRe3Rh (SCAN).

POSCAR file:
```
RbRe3Rh
1.0
4.7759 0.0000 0.0000
0.0000 4.7759 0.0000
0.0000 0.0000 4.7759
Re Rh Rb
3 1 1
Direct
0.5000 0.0000 0.0000 Re
0.0000 0.0000 0.5000 Re
0.0000 0.5000 0.0000 Re
0.0000 0.0000 0.0000 Rh
0.5000 0.5000 0.5000 Rb
```

Results
As for the energy of formation: 2.43 eV/atom. As for the space-group type: Pm-3m (221).



Record 5
Entry from the Alexandria database: a PBEsol-optimized structure of RbReS2 (SCAN).

POSCAR file:
```
RbReS2
1.0
3.5929 0.0000 0.0000
1.7965 3.1116 0.0000
1.7965 1.0372 8.6844
Rb Re S
1 1 2
Direct
0.0000 0.0000 0.0000 Rb
0.5000 0.5000 0.5000 Re
0.8817 0.8817 0.3550 S
0.1183 0.1183 0.6450 S
```

Results
As for the space-group type: R-3m (166). The formation energy (no corrections) comes out at -0.20 eV/atom.



Record 6
Entry from the Alexandria database: a PBEsol-optimized structure of Rb2Re3S6 (SCAN).

POSCAR file:
```
Rb2Re3S6
1.0
-8.3991 4.8127 0.8432
-8.3388 -4.9367 0.7149
0.8251 -0.1516 11.9121
Rb Re S
8 12 24
Direct
0.2160 0.7840 0.7500 Rb
0.3793 0.6207 0.2500 Rb
0.1375 0.6349 0.0193 Rb
0.6349 0.1375 0.5193 Rb
0.7840 0.2160 0.2500 Rb
0.8625 0.3651 0.9807 Rb
0.6207 0.3793 0.7500 Rb
0.3651 0.8625 0.4807 Rb
0.8156 0.6020 0.5869 Re
0.8796 0.5375 0.3719 Re
0.3091 0.0038 0.0227 Re
0.6020 0.8156 0.0869 Re
0.4625 0.1204 0.1281 Re
0.1844 0.3980 0.4131 Re
0.1204 0.4625 0.6281 Re
0.3980 0.1844 0.9131 Re
0.6909 0.9962 0.9773 Re
0.9962 0.6909 0.4773 Re
0.0038 0.3091 0.5227 Re
0.5375 0.8796 0.8719 Re
0.0504 0.6183 0.2841 S
0.9496 0.3817 0.7159 S
0.4262 0.2729 0.2978 S
0.7220 0.4529 0.4824 S
0.5471 0.2780 0.0176 S
0.4529 0.7220 0.9824 S
0.0641 0.9983 0.0719 S
0.2729 0.4262 0.7978 S
0.6183 0.0504 0.7841 S
0.5738 0.7271 0.7022 S
0.2780 0.5471 0.5176 S
0.9339 0.7354 0.6730 S
0.7190 0.8005 0.4386 S
0.9983 0.0641 0.5719 S
0.0017 0.9359 0.4281 S
0.7271 0.5738 0.2022 S
0.2810 0.1995 0.5614 S
0.8005 0.7190 0.9386 S
0.0661 0.2646 0.3270 S
0.2646 0.0661 0.8270 S
0.7354 0.9339 0.1730 S
0.3817 0.9496 0.2159 S
0.9359 0.0017 0.9281 S
0.1995 0.2810 0.0614 S
```

Results
As for the space-group type: C2/c (15). The formation energy (no corrections) comes out at -0.89 eV/atom.



Record 7
Entry from the Alexandria database: a PBEsol-optimized structure of Rb3ReSb (SCAN).

POSCAR file:
```
Rb3ReSb
1.0
6.8874 0.0000 0.0000
0.0000 6.8874 0.0000
0.0000 0.0000 6.8874
Re Rb Sb
1 3 1
Direct
0.5000 0.5000 0.5000 Re
0.5000 0.0000 0.0000 Rb
0.0000 0.5000 0.0000 Rb
0.0000 0.0000 0.5000 Rb
0.0000 0.0000 0.0000 Sb
```

Results
As for the space-group type: Pm-3m (221). The formation energy (no corrections) comes out at 1.31 eV/atom.



Record 8
Entry from the Alexandria database: a PBEsol-optimized structure of Rb2ReSb (SCAN).

POSCAR file:
```
Rb2ReSb
1.0
5.0561 0.0000 0.0000
2.5281 9.3952 0.0000
2.5281 0.0000 9.3952
Re Rb Sb
2 4 2
Direct
0.0000 0.0000 0.0000 Re
0.7500 0.5000 0.5000 Re
0.8750 0.2219 0.2781 Rb
0.9031 0.7219 0.2219 Rb
0.3750 0.7781 0.7219 Rb
0.8469 0.2781 0.7781 Rb
0.2500 0.5000 0.5000 Sb
0.5000 0.0000 0.0000 Sb
```

Results
As for the space-group type: I-42d (122). The formation energy (no corrections) comes out at 0.80 eV/atom.



no.,N(E_F) (states/eV/atom),calculated volume (Å³/cell)
1,1.369,126.1
2,4.294,95.4
3,4.514,57.6
4,0.992,108.9
5,0.350,97.1
6,0.000,978.4
7,0.997,326.7
8,0.693,446.3